BeNb4Co: optimized geometry, GGA-PBE.

a = 6.1796 Å, b = 6.1796 Å, c = 4.8273 Å
α = 90.00°, β = 90.00°, γ = 90.00°
Space group I422 (No. 97)
One atom of each set of equivalent atoms:
Be  0.0000  0.0000  0.0000 x2
Nb  0.1607  0.3393  0.7500 x8
Co  0.0000  0.0000  0.5000 x2

Output
formation energy	-139	meV/atom